Entry 1:
# meta-GGA SCAN Tl3RhCl, single point on PBEsol structure
data_Tl3RhCl
_symmetry_space_group_name_H-M 'P m -3 m'
_symmetry_Int_Tables_number 221
_symmetry_space_group_name_Hall '-P 4 2 3'
_cell_length_a 5.184
_cell_length_b 5.184
_cell_length_c 5.184
_cell_angle_alpha 90.00
_cell_angle_beta 90.00
_cell_angle_gamma 90.00
loop_
_atom_site_label
_atom_site_fract_x
_atom_site_fract_y
_atom_site_fract_z
Tl1 0.000 0.000 0.500
Rh1 0.000 0.000 0.000
Cl1 0.500 0.500 0.500
# * relative energy among the computed polymorphs: 0 meV per atom

---

Entry 2:
# meta-GGA SCAN KHgAsBr2, single point on PBEsol structure
data_KHgAsBr2
_symmetry_space_group_name_H-M 'P 4/m m m'
_symmetry_Int_Tables_number 123
_symmetry_space_group_name_Hall '-P 4 2'
_cell_length_a 5.788
_cell_length_b 5.788
_cell_length_c 5.113
_cell_angle_alpha 90.00
_cell_angle_beta 90.00
_cell_angle_gamma 90.00
loop_
_atom_site_label
_atom_site_fract_x
_atom_site_fract_y
_atom_site_fract_z
K1 0.000 0.000 0.000
Hg1 0.500 0.500 0.500
As1 0.500 0.500 0.000
Br1 0.000 0.500 0.500
# * total DFT energy (no corrections): -137.8 eV/f.u.

---

Entry 3:
# meta-GGA SCAN KRu2Se2, single point on PBEsol structure
data_KRu2Se2
_symmetry_space_group_name_H-M 'I 4/m m m'
_symmetry_Int_Tables_number 139
_symmetry_space_group_name_Hall '-I 4 2'
_cell_length_a 4.034
_cell_length_b 4.034
_cell_length_c 12.697
_cell_angle_alpha 90.00
_cell_angle_beta 90.00
_cell_angle_gamma 90.00
loop_
_atom_site_label
_atom_site_fract_x
_atom_site_fract_y
_atom_site_fract_z
K1 0.000 0.000 0.000
Ru1 0.000 0.500 0.250
Se1 0.000 0.000 0.354
# * total DFT energy (no corrections): -120.7 eV/f.u.

---

Entry 4:
# meta-GGA SCAN Ba2AlTl, single point on PBEsol structure
data_Ba2AlTl
_symmetry_space_group_name_H-M 'I m m 2'
_symmetry_Int_Tables_number 44
_cell_length_a 4.028
_cell_length_b 5.751
_cell_length_c 11.670
_cell_angle_alpha 90.00
_cell_angle_beta 90.00
_cell_angle_gamma 90.00
loop_
_symmetry_equiv_pos_as_xyz
'x,y,z'
'-x,-y,z'
'-x,y,z'
'x,-y,z'
'x+1/2,y+1/2,z+1/2'
'-x+1/2,-y+1/2,z+1/2'
'-x+1/2,y+1/2,z+1/2'
'x+1/2,-y+1/2,z+1/2'
loop_
_atom_site_label
_atom_site_fract_x
_atom_site_fract_y
_atom_site_fract_z
Ba1 0.000 0.000 0.000
Ba2 0.000 0.500 0.192
Al1 0.000 0.000 0.433
Tl1 0.000 0.500 0.765
# * energy of formation from the pure elements: -0.34 eV/atom

---

Entry 5:
# meta-GGA SCAN CdH2Pt2, single point on PBEsol structure
data_CdH2Pt2
_symmetry_space_group_name_H-M 'P 4/m b m'
_symmetry_Int_Tables_number 127
_symmetry_space_group_name_Hall '-P 4 2ab'
_cell_length_a 5.834
_cell_length_b 5.834
_cell_length_c 3.433
_cell_angle_alpha 90.00
_cell_angle_beta 90.00
_cell_angle_gamma 90.00
loop_
_atom_site_label
_atom_site_fract_x
_atom_site_fract_y
_atom_site_fract_z
Cd1 0.000 0.000 0.000
H1 0.120 0.380 0.000
Pt1 0.163 0.337 0.500
# * relative energy among the computed polymorphs: 0 meV per atom

---

Entry 6:
# meta-GGA SCAN ScTlW, single point on PBEsol structure
data_ScTlW
_symmetry_space_group_name_H-M 'I 4 m m'
_symmetry_Int_Tables_number 107
_symmetry_space_group_name_Hall 'I 4 -2'
_cell_length_a 2.923
_cell_length_b 2.923
_cell_length_c 13.575
_cell_angle_alpha 90.00
_cell_angle_beta 90.00
_cell_angle_gamma 90.00
loop_
_atom_site_label
_atom_site_fract_x
_atom_site_fract_y
_atom_site_fract_z
Sc1 0.000 0.000 0.000
Tl1 0.000 0.000 0.679
W1 0.000 0.000 0.345
# * relative energy among the computed polymorphs: 0 meV per atom
# * energy of formation from the pure elements: 0.38 eV/atom

---

Listing M_tot for the structures above in their given order: 0.00, 1.98, 0.00, 0.00, 0.00, 0.00 μB per formula unit.